(1)
Below is AcNdErAl after structural relaxation, with properties calculated at the PBE-GGA level.

Computed properties:
Total magnetic moment   0.00 μB/f.u.
SG   F-43m
V   30.32 Å³ per atom
Calculated formation energy   0.07 eV per atom

```
16
Lattice="7.857 0.000 0.000 0.000 7.857 0.000 0.000 0.000 7.857" Properties=species:S:1:pos:R:3 pbc="T T T"
Ac 0.000 0.000 0.000
Ac 0.000 3.929 3.929
Ac 3.929 0.000 3.929
Ac 3.929 3.929 0.000
Nd 1.964 1.964 5.893
Nd 1.964 5.893 1.964
Nd 5.893 1.964 1.964
Nd 5.893 5.893 5.893
Er 1.964 1.964 1.964
Er 1.964 5.893 5.893
Er 5.893 1.964 5.893
Er 5.893 5.893 1.964
Al 0.000 0.000 3.929
Al 0.000 3.929 0.000
Al 3.929 0.000 0.000
Al 3.929 3.929 3.929
```

=====

(2)
Below is UInPdRh after structural relaxation, with properties calculated at the PBE-GGA level.

Computed properties:
Total magnetic moment   2.16 μB/f.u.
SG   F-43m
V   19.37 Å³ per atom
Calculated formation energy   -0.38 eV per atom

```
16
Lattice="6.767 0.000 0.000 0.000 6.767 0.000 0.000 0.000 6.767" Properties=species:S:1:pos:R:3 pbc="T T T"
U 0.000 0.000 0.000
U 0.000 3.384 3.384
U 3.384 0.000 3.384
U 3.384 3.384 0.000
In 0.000 0.000 3.384
In 0.000 3.384 0.000
In 3.384 0.000 0.000
In 3.384 3.384 3.384
Pd 1.692 1.692 5.076
Pd 1.692 5.076 1.692
Pd 5.076 1.692 1.692
Pd 5.076 5.076 5.076
Rh 1.692 1.692 1.692
Rh 1.692 5.076 5.076
Rh 5.076 1.692 5.076
Rh 5.076 5.076 1.692
```

=====

(3)
Below is Tb8Nd3Dy3 after structural relaxation, with properties calculated at the PBE-GGA level.

Computed properties:
Total magnetic moment   0.00 μB/f.u.
SG   Immm
V   33.10 Å³ per atom
Calculated formation energy   0.10 eV per atom

```
14
Lattice="-2.837 5.422 7.530 2.837 -5.422 7.530 2.837 5.422 -7.530" Properties=species:S:1:pos:R:3 pbc="T T T"
Tb 2.837 -3.700 5.982
Tb 2.837 -1.736 3.324
Tb 0.000 1.721 1.548
Tb 2.837 1.736 3.324
Tb 0.000 3.685 4.206
Tb 2.837 3.700 5.982
Tb 0.000 7.158 4.206
Tb 0.000 9.122 1.548
Nd 0.000 0.000 4.788
Nd 0.000 5.422 0.000
Nd 0.000 0.000 10.273
Dy 2.837 0.000 0.000
Dy 2.837 3.211 0.000
Dy 0.000 2.211 7.530
```

=====

(4)
Below is DyTmGaFe after structural relaxation, with properties calculated at the PBE-GGA level.

Computed properties:
Total magnetic moment   1.26 μB/f.u.
SG   F-43m
V   20.74 Å³ per atom
Calculated formation energy   -0.20 eV per atom

```
16
Lattice="6.923 0.000 0.000 0.000 6.923 0.000 0.000 0.000 6.923" Properties=species:S:1:pos:R:3 pbc="T T T"
Dy 0.000 0.000 0.000
Dy 0.000 3.461 3.461
Dy 3.461 0.000 3.461
Dy 3.461 3.461 0.000
Tm 0.000 0.000 3.461
Tm 0.000 3.461 0.000
Tm 3.461 0.000 0.000
Tm 3.461 3.461 3.461
Ga 1.731 1.731 5.192
Ga 1.731 5.192 1.731
Ga 5.192 1.731 1.731
Ga 5.192 5.192 5.192
Fe 1.731 1.731 1.731
Fe 1.731 5.192 5.192
Fe 5.192 1.731 5.192
Fe 5.192 5.192 1.731
```

=====

(5)
Below is CrGaAsBr2 after structural relaxation, with properties calculated at the PBE-GGA level.

Computed properties:
Total magnetic moment   3.47 μB/f.u.
SG   P4/mmm
V   27.57 Å³ per atom
Distance to the lowest polymorph of the same formula   479 meV per atom
Formation energy from raw total energies   419 meV per atom

```
5
Lattice="5.218 0.000 0.000 0.000 5.218 0.000 0.000 0.000 5.063" Properties=species:S:1:pos:R:3 pbc="T T T"
Cr 0.000 0.000 0.000
Ga 2.609 2.609 2.531
As 2.609 2.609 0.000
Br 0.000 2.609 2.531
Br 2.609 0.000 2.531
```

=====

(6)
Below is InCo2Se after structural relaxation, with properties calculated at the PBE-GGA level.

Computed properties:
Total magnetic moment   1.32 μB/f.u.
SG   Pmmm
V   16.47 Å³ per atom
Distance to the lowest polymorph of the same formula   110 meV per atom
Formation energy from raw total energies   205 meV per atom

```
4
Lattice="3.469 0.000 0.000 0.000 3.656 0.000 0.000 0.000 5.196" Properties=species:S:1:pos:R:3 pbc="T T T"
In 0.000 0.000 0.000
Co 1.734 1.828 1.224
Co 1.734 1.828 3.972
Se 1.734 0.000 2.598
```

=====

Q: The lowest V belongs to which entry?
A: InCo2Se

=====

Q: Which formula does entry 1 have?
A: AcNdErAl

=====

Q: What is the V in the first record?
A: 30.32 Å³ per atom